No. 1
Entry from Alexandria via LeMat-Bulk: a geometry-optimized Lu2PuIn structure (PBE).

Lattice parameters (Å, degrees): 5.3237 5.3237 5.3237 60.00 60.00 60.00
Element x y z (fractional)
Lu1 0.2500 0.2500 0.2500
Lu2 0.7500 0.7500 0.7500
Pu1 0.0000 0.0000 0.0000
In1 0.5000 0.5000 0.5000

Calculated values
Fermi-level density of states in states/eV/cell: 11.88
Formation energy from the elements in meV per atom: -26
Distance to the lowest polymorph of the same formula in meV/atom: 121


No. 2
Entry from Alexandria via LeMat-Bulk: a geometry-optimized YZnAgPd structure (PBE).

Lattice parameters (Å, degrees): 4.7698 4.7698 4.7698 60.00 60.00 60.00
Element x y z (fractional)
Y1 0.0000 0.0000 0.0000
Zn1 0.5000 0.5000 0.5000
Ag1 0.2500 0.2500 0.2500
Pd1 0.7500 0.7500 0.7500

Calculated values
Fermi-level density of states in states/eV/cell: 3.02
Formation energy from the elements in meV per atom: -451


No. 3
Entry from Alexandria via LeMat-Bulk: a geometry-optimized Sr2LiLa2 structure (PBE).

Lattice parameters (Å, degrees): 8.0795 8.0795 6.3624 90.00 90.00 90.00
Element x y z (fractional)
Sr1 0.1762 0.3238 0.0000
Sr2 0.3238 0.8238 0.0000
Sr3 0.6762 0.1762 0.0000
Sr4 0.8238 0.6762 0.0000
Li1 0.0000 0.0000 0.5000
Li2 0.5000 0.5000 0.5000
La1 0.1308 0.6308 0.5000
La2 0.3692 0.1308 0.5000
La3 0.6308 0.8692 0.5000
La4 0.8692 0.3692 0.5000

Calculated values
Fermi-level density of states in states/eV/cell: 15.36
Formation energy from the elements in meV per atom: 256
Distance to the lowest polymorph of the same formula in meV/atom: 0


No. 4
Entry from Alexandria via LeMat-Bulk: a geometry-optimized TaNi2Te structure (PBE).

Lattice parameters (Å, degrees): 5.2491 5.2491 5.2491 138.86 138.37 59.96
Element x y z (fractional)
Ta1 0.0000 0.0000 0.0000
Ni1 0.4588 0.4588 0.0000
Ni2 0.7664 0.2664 0.5000
Te1 0.2433 0.7433 0.5000

Calculated values
Fermi-level density of states in states/eV/cell: 3.97
Uncorrected formation energy in eV per atom: 0.108